# CrPbF2

A relaxed structure of CrPbF2 (PBE with a Hubbard U, the Alexandria database).

Cell lengths 5.6779, 5.6779, 10.7394 Å; angles 90.00, 90.00, 90.00 degrees
Atoms (fractional coordinates):
1 Cr 0.0000 0.0000 0.0000
2 Cr 0.0000 0.5000 0.2500
3 Cr 0.5000 0.0000 0.7500
4 Cr 0.5000 0.5000 0.5000
5 Pb 0.0000 0.0000 0.5000
6 Pb 0.0000 0.5000 0.7500
7 Pb 0.5000 0.0000 0.2500
8 Pb 0.5000 0.5000 0.0000
9 F 0.0987 0.2500 0.1250
10 F 0.2500 0.5987 0.3750
11 F 0.2500 0.9013 0.8750
12 F 0.4013 0.2500 0.6250
13 F 0.5987 0.7500 0.6250
14 F 0.7500 0.0987 0.8750
15 F 0.7500 0.4013 0.3750
16 F 0.9013 0.7500 0.1250

V (Å³/cell): 346
Crystal system: tetragonal
Offset from the most stable computed form (eV/atom): 0.227